VASP calculation (PBE) on a relaxed structure of Gd2ScCu.

Cell: 3.515 3.515 8.147 Å, 90.00 90.00 90.00°
Atoms (fractional coordinates):
Gd  0.000  0.000  0.214
Gd  0.000  0.000  0.786
Sc  0.500  0.500  0.500
Cu  0.500  0.500  0.000

Properties
E above lowest polymorph	0.000	eV per atom
space-group type	No. 123
total energy	-9.71	eV/atom

=====

VASP calculation (PBE) on a relaxed structure of GdScCu.

Cell: 4.622 4.622 3.765 Å, 90.00 90.00 120.00°
Atoms (fractional coordinates):
Gd  0.000  0.000  0.000
Sc  0.333  0.667  0.500
Cu  0.667  0.333  0.500

Properties
E above lowest polymorph	0.151	eV per atom
space-group type	No. 187
total energy	-8.15	eV/atom